Record 1
This record from Alexandria describes a relaxed HfNiPb crystal. The functional is GGA-PBE.

The density of states at the Fermi level comes out at 2.557 states/eV/cell. As for the energy of formation from the pure elements: -0.146 eV/atom.

Lattice parameters (Å, degrees): 3.4683 5.9168 6.3845 72.15 76.66 74.55
Element x y z (fractional)
Hf 0.8977 0.2970 0.8880
Hf 0.1023 0.7030 0.1120
Ni 0.3930 0.0497 0.1780
Ni 0.6070 0.9503 0.8220
Pb 0.3106 0.7347 0.5910
Pb 0.6894 0.2653 0.4090

=====

Record 2
This record from Alexandria describes a relaxed HfNiPbSe3 crystal. The functional is GGA-PBE.

The value obtained for the uncorrected formation energy is -0.79 eV/atom. The density of states at the Fermi level comes out at 1.238 states/eV/cell.

Lattice parameters (Å, degrees): 3.8298 7.8827 9.8613 108.28 90.00 90.00
Element x y z (fractional)
Hf 0.2500 0.6842 0.1597
Hf 0.7500 0.3158 0.8403
Ni 0.2500 0.0643 0.6218
Ni 0.7500 0.9357 0.3782
Pb 0.2500 0.1928 0.3231
Pb 0.7500 0.8072 0.6769
Se 0.7500 0.9098 0.1293
Se 0.2500 0.0902 0.8707
Se 0.2500 0.7593 0.4360
Se 0.7500 0.2407 0.5640
Se 0.7500 0.4334 0.1372
Se 0.2500 0.5666 0.8628

=====

Record 3
This record from Alexandria describes a relaxed Hf2NiSnPb crystal. The functional is GGA-PBE.

The density of states at the Fermi level comes out at 6.148 states/eV/cell. As for the energy of formation from the pure elements: 1.522 eV/atom.

Lattice parameters (Å, degrees): 5.2829 5.5863 5.2829 90.00 90.00 90.00
Element x y z (fractional)
Pb 0.0000 0.5000 0.0000
Ni 0.5000 0.5000 0.5000
Hf 0.0000 0.0000 0.5000
Hf 0.5000 0.0000 0.0000
Sn 0.0000 0.0000 0.0000

=====

Record 4
This record from Alexandria describes a relaxed HfTaNiPb2 crystal. The functional is GGA-PBE.

The density of states at the Fermi level comes out at 5.350 states/eV/cell. As for the energy of formation from the pure elements: 1.172 eV/atom.

Lattice parameters (Å, degrees): 5.3803 4.6003 5.3803 90.00 90.00 90.00
Element x y z (fractional)
Pb 0.0000 0.0000 0.5000
Pb 0.5000 0.0000 0.0000
Ni 0.0000 0.5000 0.0000
Hf 0.5000 0.5000 0.5000
Ta 0.0000 0.0000 0.0000